9
Lattice="-2.071 2.722 -3.385 -1.837 -4.317 1.073 -4.285 3.093 5.107" Properties=species:S:1:pos:R:3 comment="NaNi3P5 (GGA-PBE, optimized geometry)" e_tot_ev_per_atom=-5.0683 sg="P6/mmm, No. 191" magnetic_moment_mub_per_cell=0.05 pbc="T T T"
Ni -3.178 2.907 0.861
Ni -3.061 -0.612 3.090
Ni -4.096 0.749 1.397
P -2.142 1.546 2.554
P -5.147 0.362 3.439
P -3.045 1.136 -0.645
P -2.967 -1.211 0.841
P -5.225 2.709 1.953
Na 0.000 0.000 0.000


14
Lattice="4.158 0.977 6.617 -4.133 5.979 3.032 -3.089 -6.837 -2.396" Properties=species:S:1:pos:R:3 comment="NaNiPS4 (GGA-PBE, optimized geometry)" e_tot_ev_per_atom=-4.6559 sg="I4/mcm, No. 140" magnetic_moment_mub_per_cell=0.01 pbc="T T T"
P 0.540 -1.191 4.523
P -3.605 1.310 2.731
S -2.375 1.375 4.379
S -0.697 -3.123 0.285
S -2.368 3.242 6.968
S -0.690 -1.256 2.875
S -4.526 -2.357 -0.257
S -4.519 -0.491 2.332
S 1.454 0.610 4.922
S 1.461 2.476 7.511
Ni 0.534 -2.930 2.111
Ni -3.611 -0.429 0.318
Na 0.018 5.217 7.237
Na 0.006 1.739 2.412


3
Lattice="0.000 3.264 3.264 3.264 0.000 3.264 3.264 3.264 0.000" Properties=species:S:1:pos:R:3 comment="NaPaNi (GGA-PBE, optimized geometry)" e_tot_ev_per_atom=-4.2796 sg="F-43m, No. 216" magnetic_moment_mub_per_cell=1.76 pbc="T T T"
Ni 4.897 4.897 4.897
Na 1.632 1.632 1.632
Pa 0.000 0.000 0.000


3
Lattice="-0.683 -2.963 -3.370 -3.859 0.128 -2.387 0.044 1.418 -4.312" Properties=species:S:1:pos:R:3 comment="NaNiPb (GGA-PBE, optimized geometry)" e_tot_ev_per_atom=-3.3202 sg="F-43m, No. 216" magnetic_moment_mub_per_cell=0.01 pbc="T T T"
Na -1.124 -0.354 -2.517
Ni 0.000 0.000 0.000
Pb -3.373 -1.063 -7.552


3
Lattice="0.000 3.280 3.280 3.280 0.000 3.280 3.280 3.280 0.000" Properties=species:S:1:pos:R:3 comment="NaNiPb (GGA-PBE, optimized geometry)" e_tot_ev_per_atom=-2.8320 sg="F-43m, No. 216" magnetic_moment_mub_per_cell=0.01 pbc="T T T"
Ni 1.640 1.640 1.640
Pb 4.920 4.920 4.920
Na 0.000 0.000 0.000


4
Lattice="0.000 3.342 3.342 3.342 0.000 3.342 3.342 3.342 0.000" Properties=species:S:1:pos:R:3 comment="NaScNiPb (GGA-PBE, optimized geometry)" e_tot_ev_per_atom=-4.3271 polymorph_energy_ev_per_atom=0.0000 sg="F-43m, No. 216" magnetic_moment_mub_per_cell=0.00 pbc="T T T"
Na 5.012 5.012 5.012
Ni 1.671 1.671 1.671
Sc 0.000 0.000 0.000
Pb 3.342 3.342 3.342


4
Lattice="0.000 3.437 3.437 3.437 0.000 3.437 3.437 3.437 0.000" Properties=species:S:1:pos:R:3 comment="NaScNiPb (GGA-PBE, optimized geometry)" e_tot_ev_per_atom=-4.2094 polymorph_energy_ev_per_atom=0.1177 sg="F-43m, No. 216" magnetic_moment_mub_per_cell=0.00 pbc="T T T"
Ni 0.000 0.000 0.000
Na 5.156 5.156 5.156
Pb 3.437 3.437 3.437
Sc 1.719 1.719 1.719


4
Lattice="0.000 3.496 3.496 3.496 0.000 3.496 3.496 3.496 0.000" Properties=species:S:1:pos:R:3 comment="NaTlNiPb (GGA-PBE, optimized geometry)" e_tot_ev_per_atom=-3.0831 polymorph_energy_ev_per_atom=0.0000 sg="F-43m, No. 216" magnetic_moment_mub_per_cell=0.00 pbc="T T T"
Pb 3.496 3.496 3.496
Ni 1.748 1.748 1.748
Na 5.243 5.243 5.243
Tl 0.000 0.000 0.000